The following is a PBE calculation of a geometry-optimized DyZr3Te2C2 structure, from OQMD.

abc: 3.5990 3.5990 13.6362
angles: 90.00 90.00 120.00
Element x y z (fractional)
C: 0.6667 0.3333 0.0120
C: 0.6667 0.3333 0.4971
Dy: 0.3333 0.6667 0.9096
Te: 0.3333 0.6667 0.2537
Te: 0.0000 0.0000 0.7377
Zr: 0.0000 0.0000 0.0956
Zr: 0.0000 0.0000 0.4105
Zr: 0.3333 0.6667 0.5837

Output
VASP energy in eV/atom: -7.75
Size of the total moment in μB per atom: 0.00